No. 1
CeTeS | PBE | relaxed

Cell lengths 4.4420, 4.4420, 7.9014 Å; angles 90.01, 90.01, 90.00 degrees
Last column: nearest neighbours and their distance in Å.
Fractional positions:
Ce: 0.7500 0.7500 0.2107  4 S 2.78
Ce: 0.2500 0.2500 0.7893  4 S 2.78
Te: 0.2502 0.2502 0.3738  5 Ce 3.28-3.40
Te: 0.7498 0.7498 0.6262  5 Ce 3.28-3.40
S: 0.7500 0.2500 0.0000  4 Ce 2.78
S: 0.2500 0.7500 0.0000  4 Ce 2.78

Summary:
Space-group type: P4/nmm
Electronic total energy in eV per atom: -5.92
Formation energy (no corrections) in eV per atom: -1.52
Crystal system: tetragonal
Distance to the lowest polymorph of the same formula in meV per atom: 0


No. 2
Ce2Te2S | PBE | relaxed

Cell lengths 6.4638, 8.0311, 7.9950 Å; angles 120.15, 113.84, 90.00 degrees
Last column: nearest neighbours and their distance in Å.
Fractional positions:
Ce: 0.3966 0.6321 0.7932  2 S 2.79
Ce: 0.6034 0.3679 0.2068  2 S 2.79
Ce: 0.1034 0.8389 0.2068  2 S 2.79
Ce: 0.8966 0.1611 0.7932  2 S 2.79
Te: 0.8549 0.7172 0.7098  5 Ce 3.17-3.43
Te: 0.1451 0.2828 0.2902  5 Ce 3.17-3.43
Te: 0.6451 0.0074 0.2902  5 Ce 3.17-3.43
Te: 0.3549 0.9926 0.7098  5 Ce 3.17-3.43
S: 0.7500 0.5000 0.0000  4 Ce 2.79
S: 0.2500 0.5000 0.0000  4 Ce 2.79

Summary:
Space-group type: Ibam
Electronic total energy in eV per atom: -5.99
Formation energy (no corrections) in eV per atom: -1.54
Crystal system: orthorhombic


No. 3
CeTeS | PBE | relaxed

Cell lengths 4.3810, 4.6241, 4.6241 Å; angles 120.00, 90.00, 90.00 degrees
Last column: nearest neighbours and their distance in Å.
Fractional positions:
S: 0.1669 0.3333 0.6667  3 Ce 2.67
Te: 0.6666 0.6667 0.3333  6 S 3.45, 6 Ce 3.45
Ce: 0.1665 0.0000 0.0000  3 S 2.67

Summary:
Space-group type: P-6m2
Electronic total energy in eV per atom: -5.77
Formation energy (no corrections) in eV per atom: -1.37
Crystal system: hexagonal
Distance to the lowest polymorph of the same formula in meV per atom: 151


No. 4
Ce4Te5S | PBE | relaxed

Cell lengths 4.3842, 8.6244, 9.8312 Å; angles 103.66, 102.88, 90.00 degrees
Last column: nearest neighbours and their distance in Å.
Fractional positions:
Ce: 0.3375 0.9085 0.6749  1 S 3.02, 5 Te 3.07-3.16
Ce: 0.0000 0.7616 0.0001  2 S 3.01, 4 Te 3.07-3.15
Ce: 0.6625 0.0915 0.3251  1 S 3.02, 5 Te 3.07-3.16
Ce: 0.0000 0.2384 0.9999  2 S 3.01, 4 Te 3.07-3.15
Te: 0.8352 0.6582 0.6704  3 Ce 3.07
Te: 0.8323 0.1690 0.6645  4 Ce 3.12-3.16
Te: 0.1677 0.8310 0.3355  4 Ce 3.12-3.16
Te: 0.5000 0.5000 0.0000  4 Ce 3.15
Te: 0.1648 0.3418 0.3296  3 Ce 3.07
S: 0.5000 0.0000 0.0000  6 Ce 3.01-3.02

Summary:
Space-group type: C2/m
Electronic total energy in eV per atom: -5.71
Formation energy (no corrections) in eV per atom: -1.36
Crystal system: monoclinic